Here is a relaxed Li5CaTl7 crystal from Alexandria. Energies are from PBE-GGA.

a b c (Å): 6.081 7.709 7.709
angles (deg): 81.55 66.77 66.77
Fractional coordinates of all 13 atoms:
Ca 0.995 0.005 0.005
Tl 0.334 0.666 0.666
Tl 0.985 0.678 0.352
Tl 0.650 0.350 0.350
Tl 0.269 0.231 0.231
Tl 0.985 0.352 0.678
Tl 0.518 0.177 0.787
Tl 0.518 0.787 0.177
Li 0.012 0.495 0.000
Li 0.736 0.764 0.764
Li 0.493 0.000 0.495
Li 0.493 0.495 0.000
Li 0.012 0.000 0.495

The formation energy from the elements comes out at -0.21 eV per atom.

Here is a relaxed Ag3SnI4 crystal from Alexandria. Energies are from PBE-GGA.

a b c (Å): 7.844 7.844 7.138
angles (deg): 123.33 123.33 90.00
Fractional coordinates of all 8 atoms:
I 0.127 0.590 0.717
I 0.590 0.127 0.717
I 0.873 0.873 0.283
I 0.410 0.410 0.283
Sn 0.000 0.000 0.000
Ag 0.500 0.500 0.000
Ag 0.750 0.250 0.500
Ag 0.250 0.750 0.500

As for the energy: -2.419 eV/atom.

Here is a relaxed CsRbNF2 crystal from Alexandria. Energies are from PBE-GGA.

a b c (Å): 5.311 5.311 5.351
angles (deg): 90.00 90.00 90.00
Fractional coordinates of all 5 atoms:
F 0.000 0.500 0.000
F 0.500 0.000 0.000
N 0.000 0.000 0.500
Rb 0.000 0.000 0.000
Cs 0.500 0.500 0.500

Its relative energy among the computed polymorphs is 0.0 meV per atom.

Here is a relaxed Ba2IrSeN crystal from Alexandria. Energies are from PBE-GGA.

a b c (Å): 5.843 5.843 3.808
angles (deg): 90.00 90.00 90.00
Fractional coordinates of all 5 atoms:
Ba 0.000 0.500 0.000
Ba 0.500 0.000 0.000
N 0.000 0.000 0.000
Ir 0.000 0.000 0.500
Se 0.500 0.500 0.500

As for the energy: -5.922 eV/atom.

Here is a relaxed PmAl3Au10 crystal from Alexandria. Energies are from PBE-GGA.

a b c (Å): 9.215 9.205 9.217
angles (deg): 60.01 59.94 60.07
Fractional coordinates of all 28 atoms:
Au 0.000 0.344 0.656
Au 0.000 0.344 0.000
Au 0.384 0.384 0.849
Au 0.384 0.849 0.384
Au 0.151 0.616 0.616
Au 0.384 0.384 0.384
Au 0.000 0.000 0.344
Au 0.656 0.344 0.000
Au 0.656 0.000 0.344
Au 0.616 0.616 0.616
Au 0.616 0.151 0.616
Au 0.000 0.000 0.656
Au 0.849 0.384 0.384
Au 0.344 0.656 0.000
Au 0.344 0.000 0.656
Au 0.344 0.000 0.000
Au 0.000 0.656 0.344
Au 0.616 0.616 0.151
Au 0.000 0.656 0.000
Au 0.656 0.000 0.000
Al 0.736 0.264 0.736
Al 0.264 0.736 0.736
Al 0.264 0.264 0.736
Al 0.264 0.736 0.264
Al 0.736 0.264 0.264
Al 0.736 0.736 0.264
Pm 0.250 0.250 0.250
Pm 0.750 0.750 0.750

The formation energy from the elements comes out at -0.30 eV per atom.

Here is a relaxed ZrAgAs2 crystal from Alexandria. Energies are from PBE-GGA.

a b c (Å): 3.320 3.320 7.476
angles (deg): 90.00 90.00 103.19
Fractional coordinates of all 4 atoms:
Ag 0.500 0.500 0.750
As 0.000 0.000 0.491
As 0.000 0.000 0.009
Zr 0.500 0.500 0.250

The formation energy from the elements comes out at -0.27 eV per atom.

Here is a relaxed ZnCuIN2 crystal from Alexandria. Energies are from PBE-GGA.

a b c (Å): 3.849 3.849 7.182
angles (deg): 90.00 90.00 90.00
Fractional coordinates of all 5 atoms:
Cu 0.000 0.000 0.000
N 0.000 0.500 0.000
N 0.500 0.000 0.000
I 0.000 0.000 0.500
Zn 0.500 0.500 0.500

Its relative energy among the computed polymorphs is 37.3 meV per atom.

Here is a relaxed Tm6HgRh2 crystal from Alexandria. Energies are from PBE-GGA.

a b c (Å): 8.346 8.346 8.346
angles (deg): 104.37 111.10 113.07
Fractional coordinates of all 18 atoms:
Tm 0.533 0.714 0.819
Tm 0.801 0.761 0.561
Tm 0.306 0.635 0.330
Tm 0.694 0.024 0.330
Tm 0.467 0.286 0.181
Tm 0.199 0.239 0.439
Tm 0.199 0.761 0.960
Tm 0.801 0.239 0.040
Tm 0.895 0.714 0.181
Tm 0.694 0.365 0.670
Tm 0.105 0.286 0.819
Tm 0.306 0.976 0.670
Rh 0.500 0.367 0.867
Rh 0.500 0.633 0.133
Rh 0.664 0.000 0.664
Rh 0.336 0.000 0.336
Hg 0.000 0.000 0.000
Hg 0.000 0.500 0.500

The formation energy from the elements comes out at -0.60 eV per atom.

Here is a relaxed AcPmTlIr crystal from Alexandria. Energies are from PBE-GGA.

a b c (Å): 4.238 4.225 8.709
angles (deg): 90.02 104.13 120.03
Fractional coordinates of all 4 atoms:
Tl 0.959 0.378 0.353
Ir 0.311 0.553 0.879
Pm 0.097 0.947 0.059
Ac 0.511 0.153 0.679

The formation energy from the elements comes out at -0.48 eV per atom. Its relative energy among the computed polymorphs is 0.0 meV per atom.

Here is a relaxed CaPmH6Pd2 crystal from Alexandria. Energies are from PBE-GGA.

a b c (Å): 4.868 4.868 7.093
angles (deg): 69.93 69.93 60.00
Fractional coordinates of all 10 atoms:
H 0.264 0.897 0.247
H 0.897 0.592 0.247
H 0.103 0.408 0.753
H 0.736 0.103 0.753
H 0.592 0.264 0.247
H 0.408 0.736 0.753
Pm 0.000 0.000 0.000
Pd 0.253 0.253 0.242
Pd 0.747 0.747 0.758
Ca 0.500 0.500 0.500

As for the energy: -3.999 eV/atom.

Here is a relaxed TbDy2Se4 crystal from Alexandria. Energies are from PBE-GGA.

a b c (Å): 3.972 7.013 13.807
angles (deg): 90.00 90.00 106.45
Fractional coordinates of all 14 atoms:
Dy 0.130 0.260 0.430
Dy 0.130 0.260 0.070
Dy 0.870 0.740 0.930
Dy 0.870 0.740 0.570
Se 0.500 0.000 0.000
Se 0.777 0.554 0.378
Se 0.030 0.059 0.250
Se 0.500 0.000 0.500
Se 0.223 0.446 0.878
Se 0.223 0.446 0.622
Se 0.777 0.554 0.122
Se 0.970 0.941 0.750
Tb 0.373 0.746 0.250
Tb 0.627 0.254 0.750

Its relative energy among the computed polymorphs is 0.0 meV per atom.

Here is a relaxed CoHg2Os crystal from Alexandria. Energies are from PBE-GGA.

a b c (Å): 2.856 2.856 9.496
angles (deg): 90.00 90.00 118.53
Fractional coordinates of all 4 atoms:
Co 0.500 0.500 0.750
Hg 0.000 0.000 0.989
Hg 0.000 0.000 0.511
Os 0.500 0.500 0.250

The formation energy from the elements comes out at 0.84 eV per atom. Its relative energy among the computed polymorphs is 381.7 meV per atom.

Please write out number 3 again, unchanged.
Here is a relaxed CsRbNF2 crystal from Alexandria. Energies are from PBE-GGA.

a b c (Å): 5.311 5.311 5.351
angles (deg): 90.00 90.00 90.00
Fractional coordinates of all 5 atoms:
F 0.000 0.500 0.000
F 0.500 0.000 0.000
N 0.000 0.000 0.500
Rb 0.000 0.000 0.000
Cs 0.500 0.500 0.500

Its relative energy among the computed polymorphs is 0.0 meV per atom.